Record 1
A geometry-optimized TlMoP2O8 structure, computed with PBE+U.

Unit cell a=9.2219 b=9.2219 c=9.2219 alpha=31.59 beta=31.59 gamma=31.59
Fractional coordinates of all 12 atoms:
Tl 0.0000 0.0000 0.0000
Mo 0.5000 0.5000 0.5000
P 0.2335 0.2335 0.2335
P 0.7665 0.7665 0.7665
O 0.1028 0.5342 0.7300
O 0.2700 0.8972 0.4658
O 0.2906 0.2906 0.2906
O 0.4658 0.2700 0.8972
O 0.5342 0.7300 0.1028
O 0.7094 0.7094 0.7094
O 0.7300 0.1028 0.5342
O 0.8972 0.4658 0.2700

* symmetry: R-3 (148)
* total DFT energy (no corrections): -6.8677 eV per atom

***

Record 2
A geometry-optimized TlMoP2O structure, computed with PBE+U.

Unit cell a=5.1632 b=5.1632 c=4.1353 alpha=90.00 beta=90.00 gamma=90.00
Fractional coordinates of all 5 atoms:
Tl 0.0000 0.0000 0.0000
Mo 0.5000 0.5000 0.5000
P 0.0000 0.5000 0.0000
P 0.5000 0.0000 0.0000
O 0.0000 0.0000 0.5000

* energy relative to the lowest polymorph listed for this composition: 1132.3 meV per atom
* symmetry: P4/mmm (123)

***

Record 3
A geometry-optimized Tl2Mo2P2O11 structure, computed with PBE+U.

Unit cell a=10.1293 b=10.3853 c=10.1670 alpha=90.00 beta=97.71 gamma=90.00
Fractional coordinates of all 68 atoms:
Tl 0.0017 0.0000 0.2490
Tl 0.2406 0.8207 0.9429
Tl 0.2419 0.6900 0.4795
Tl 0.4924 0.5894 0.2454
Tl 0.5076 0.0894 0.7546
Tl 0.7581 0.1900 0.5205
Tl 0.7594 0.3207 0.0571
Tl 0.9983 0.5000 0.7510
Mo 0.0741 0.1805 0.8983
Mo 0.0769 0.3238 0.3977
Mo 0.3468 0.0862 0.3874
Mo 0.3467 0.4161 0.8908
Mo 0.6532 0.5862 0.6126
Mo 0.6533 0.9161 0.1092
Mo 0.9231 0.8238 0.6023
Mo 0.9259 0.6805 0.1017
P 0.1248 0.0782 0.6039
P 0.1262 0.4253 0.1042
P 0.3922 0.1218 0.0659
P 0.3938 0.3776 0.5666
P 0.6062 0.8776 0.4334
P 0.6078 0.6218 0.9341
P 0.8738 0.9253 0.8958
P 0.8752 0.5782 0.3961
O 0.0282 0.9790 0.5269
O 0.0298 0.5245 0.0270
O 0.0679 0.2144 0.5664
O 0.0690 0.2890 0.0677
O 0.0764 0.7660 0.6811
O 0.0775 0.7390 0.1806
O 0.1299 0.0571 0.7553
O 0.1306 0.4471 0.2554
O 0.1964 0.3044 0.8359
O 0.1968 0.1989 0.3347
O 0.2426 0.0937 0.0212
O 0.2445 0.4069 0.5218
O 0.2692 0.0601 0.5705
O 0.2703 0.4433 0.0704
O 0.2853 0.9373 0.3316
O 0.2896 0.5643 0.8281
O 0.4241 0.1419 0.2184
O 0.4244 0.3547 0.7201
O 0.4407 0.2400 0.9915
O 0.4417 0.2566 0.4970
O 0.4679 0.9985 0.0254
O 0.4696 0.5012 0.5295
O 0.5304 0.0012 0.4705
O 0.5321 0.4985 0.9746
O 0.5583 0.7566 0.5030
O 0.5593 0.7400 0.0085
O 0.5759 0.6419 0.7816
O 0.5756 0.8547 0.2799
O 0.7104 0.0643 0.1719
O 0.7147 0.4373 0.6684
O 0.7297 0.9433 0.9296
O 0.7308 0.5601 0.4295
O 0.7555 0.9069 0.4782
O 0.7574 0.5937 0.9788
O 0.8032 0.6989 0.6653
O 0.8036 0.8044 0.1641
O 0.8694 0.9471 0.7446
O 0.8701 0.5571 0.2447
O 0.9225 0.2390 0.8194
O 0.9236 0.2660 0.3189
O 0.9310 0.7890 0.9323
O 0.9321 0.7144 0.4336
O 0.9702 0.0245 0.9730
O 0.9718 0.4790 0.4731

* symmetry: P2_1 (4)
* total DFT energy (no corrections): -6.7641 eV per atom

***

Record 4
A geometry-optimized Tl2Mo3P3O17 structure, computed with PBE+U.

Unit cell a=11.0001 b=9.7229 c=15.9720 alpha=90.00 beta=111.07 gamma=90.00
Fractional coordinates of all 100 atoms:
Tl 0.1150 0.1287 0.2120
Tl 0.1150 0.3713 0.7120
Tl 0.3592 0.1681 0.0107
Tl 0.3592 0.3319 0.5107
Tl 0.6408 0.6681 0.4893
Tl 0.6408 0.8319 0.9893
Tl 0.8850 0.6287 0.2880
Tl 0.8850 0.8713 0.7880
Mo 0.0724 0.7405 0.0995
Mo 0.0724 0.7595 0.5995
Mo 0.2512 0.6241 0.9382
Mo 0.2512 0.8759 0.4382
Mo 0.4535 0.1173 0.7572
Mo 0.4535 0.3827 0.2572
Mo 0.5465 0.6173 0.7428
Mo 0.5465 0.8827 0.2428
Mo 0.7488 0.1241 0.5618
Mo 0.7488 0.3759 0.0618
Mo 0.9276 0.2405 0.4005
Mo 0.9276 0.2595 0.9005
P 0.1696 0.0960 0.5693
P 0.1696 0.4040 0.0693
P 0.3356 0.6763 0.2971
P 0.3356 0.8237 0.7971
P 0.4548 0.0987 0.3772
P 0.4548 0.4013 0.8772
P 0.5452 0.5987 0.1228
P 0.5452 0.9013 0.6228
P 0.6644 0.1763 0.2029
P 0.6644 0.3237 0.7029
P 0.8304 0.5960 0.9307
P 0.8304 0.9040 0.4307
O 0.0419 0.2330 0.3486
O 0.0419 0.2670 0.8486
O 0.0625 0.2064 0.5238
O 0.0625 0.2936 0.0238
O 0.0867 0.5849 0.5832
O 0.0867 0.9151 0.0832
O 0.1038 0.6129 0.8503
O 0.1038 0.8871 0.3503
O 0.1094 0.5272 0.0989
O 0.1094 0.9728 0.5989
O 0.2087 0.7161 0.0192
O 0.2087 0.7839 0.5192
O 0.2299 0.7377 0.2141
O 0.2299 0.7623 0.7141
O 0.2356 0.0556 0.5004
O 0.2356 0.4444 0.0004
O 0.2704 0.1729 0.6483
O 0.2704 0.3271 0.1483
O 0.3092 0.7123 0.3840
O 0.3092 0.7877 0.8840
O 0.3365 0.0067 0.3704
O 0.3365 0.4933 0.8704
O 0.3384 0.5176 0.2959
O 0.3384 0.9824 0.7959
O 0.3917 0.2308 0.3224
O 0.3917 0.2692 0.8224
O 0.4062 0.5723 0.6569
O 0.4062 0.9277 0.1569
O 0.4577 0.5269 0.1663
O 0.4577 0.9731 0.6663
O 0.4640 0.6402 0.0262
O 0.4640 0.8598 0.5262
O 0.4699 0.7375 0.3063
O 0.4699 0.7625 0.8063
O 0.5301 0.2375 0.1937
O 0.5301 0.2625 0.6937
O 0.5360 0.1402 0.4738
O 0.5360 0.3598 0.9738
O 0.5423 0.0269 0.3337
O 0.5423 0.4731 0.8337
O 0.5938 0.0723 0.8431
O 0.5938 0.4277 0.3431
O 0.6083 0.7308 0.1776
O 0.6083 0.7692 0.6776
O 0.6616 0.0176 0.2041
O 0.6616 0.4824 0.7041
O 0.6635 0.5067 0.1296
O 0.6635 0.9933 0.6296
O 0.6908 0.2123 0.1160
O 0.6908 0.2877 0.6160
O 0.7296 0.6729 0.8517
O 0.7296 0.8271 0.3517
O 0.7644 0.5556 0.9996
O 0.7644 0.9444 0.4996
O 0.7701 0.2377 0.2859
O 0.7701 0.2623 0.7859
O 0.7913 0.2161 0.4808
O 0.7913 0.2839 0.9808
O 0.8906 0.0272 0.4011
O 0.8906 0.4728 0.9011
O 0.8962 0.1129 0.6497
O 0.8962 0.3871 0.1497
O 0.9133 0.0849 0.9168
O 0.9133 0.4151 0.4168
O 0.9375 0.7064 0.9762
O 0.9375 0.7936 0.4762
O 0.9581 0.7330 0.1514
O 0.9581 0.7670 0.6514

* symmetry: P2_1/c (14)
* total DFT energy (no corrections): -6.8704 eV per atom

***

Record 5
A geometry-optimized TlMoPO2 structure, computed with PBE+U.

Unit cell a=4.0660 b=4.0660 c=5.9150 alpha=90.00 beta=90.00 gamma=90.00
Fractional coordinates of all 5 atoms:
Tl 0.0000 0.0000 0.0000
Mo 0.5000 0.5000 0.5000
P 0.0000 0.0000 0.5000
O 0.0000 0.5000 0.0000
O 0.5000 0.0000 0.0000

* energy relative to the lowest polymorph listed for this composition: 1332.2 meV per atom
* symmetry: P4/mmm (123)

***

Record 6
A geometry-optimized VMoP2O structure, computed with PBE+U.

Unit cell a=4.8250 b=4.8250 c=3.5961 alpha=90.00 beta=90.00 gamma=90.00
Fractional coordinates of all 5 atoms:
V 0.0000 0.0000 0.0000
Mo 0.5000 0.5000 0.5000
P 0.0000 0.5000 0.0000
P 0.5000 0.0000 0.0000
O 0.0000 0.0000 0.5000

* energy relative to the lowest polymorph listed for this composition: 0.0 meV per atom
* symmetry: P4/mmm (123)

***

Record 7
A geometry-optimized VMoP2O structure, computed with PBE+U.

Unit cell a=4.8604 b=4.8604 c=3.7732 alpha=90.00 beta=90.00 gamma=90.00
Fractional coordinates of all 5 atoms:
V 0.0000 0.0000 0.0000
Mo 0.5000 0.5000 0.5000
P 0.0000 0.5000 0.5000
P 0.5000 0.0000 0.5000
O 0.5000 0.5000 0.0000

* energy relative to the lowest polymorph listed for this composition: 185.1 meV per atom
* symmetry: P4/mmm (123)

***

Record 8
A geometry-optimized MoP2WO structure, computed with PBE+U.

Unit cell a=4.9303 b=4.9303 c=3.7979 alpha=90.00 beta=90.00 gamma=90.00
Fractional coordinates of all 5 atoms:
Mo 0.0000 0.0000 0.0000
P 0.0000 0.5000 0.5000
P 0.5000 0.0000 0.5000
W 0.5000 0.5000 0.5000
O 0.5000 0.5000 0.0000

* energy relative to the lowest polymorph listed for this composition: 0.0 meV per atom
* symmetry: P4/mmm (123)

***

Record 9
A geometry-optimized MoP2WO structure, computed with PBE+U.

Unit cell a=4.9116 b=4.9116 c=3.7559 alpha=90.00 beta=90.00 gamma=90.00
Fractional coordinates of all 5 atoms:
Mo 0.0000 0.0000 0.0000
P 0.0000 0.5000 0.0000
P 0.5000 0.0000 0.0000
W 0.5000 0.5000 0.5000
O 0.0000 0.0000 0.5000

* energy relative to the lowest polymorph listed for this composition: 257.3 meV per atom
* symmetry: P4/mmm (123)

***

Record 10
A geometry-optimized MoPWO2 structure, computed with PBE+U.

Unit cell a=3.8687 b=3.8687 c=5.4534 alpha=90.00 beta=90.00 gamma=90.00
Fractional coordinates of all 5 atoms:
Mo 0.0000 0.0000 0.0000
P 0.5000 0.5000 0.0000
W 0.5000 0.5000 0.5000
O 0.0000 0.5000 0.5000
O 0.5000 0.0000 0.5000

* energy relative to the lowest polymorph listed for this composition: 0.0 meV per atom
* symmetry: P4/mmm (123)

***

Record 11
A geometry-optimized MoPWO2 structure, computed with PBE+U.

Unit cell a=3.8504 b=3.8504 c=5.5229 alpha=90.00 beta=90.00 gamma=90.00
Fractional coordinates of all 5 atoms:
Mo 0.0000 0.0000 0.0000
P 0.0000 0.0000 0.5000
W 0.5000 0.5000 0.5000
O 0.0000 0.5000 0.0000
O 0.5000 0.0000 0.0000

* energy relative to the lowest polymorph listed for this composition: 354.8 meV per atom
* symmetry: P4/mmm (123)

***

Record 12
A geometry-optimized YMoPO2 structure, computed with PBE+U.

Unit cell a=4.2080 b=4.2080 c=5.7921 alpha=90.00 beta=90.00 gamma=90.00
Fractional coordinates of all 5 atoms:
Y 0.0000 0.0000 0.0000
Mo 0.5000 0.5000 0.5000
P 0.0000 0.0000 0.5000
O 0.0000 0.5000 0.0000
O 0.5000 0.0000 0.0000

* symmetry: P4/mmm (123)
* total DFT energy (no corrections): -6.4109 eV per atom